1.
# ErH3Ir

A relaxed structure of ErH3Ir (PBE, Alexandria).

## Properties
The value obtained for the uncorrected energy is -5.18 eV per atom. The crystal system is cubic. As for the space group: Pm-3m.

a = 3.658 Å, b = 3.658 Å, c = 3.658 Å
α = 90.00°, β = 90.00°, γ = 90.00°
Element x y z (fractional)
H (0.500, 0.000, 0.000)
H (0.000, 0.500, 0.000)
H (0.000, 0.000, 0.500)
Er (0.500, 0.500, 0.500)
Ir (0.000, 0.000, 0.000)



2.
# NdMg6Ag2

A relaxed structure of NdMg6Ag2 (PBE, Alexandria).

## Properties
The value obtained for the formation energy is -69 kJ/mol of formula units. The crystal system is monoclinic. As for the space group: C2/m.

a = 4.881 Å, b = 6.991 Å, c = 6.991 Å
α = 84.89°, β = 70.35°, γ = 70.35°
Element x y z (fractional)
Mg (0.815, 0.849, 0.522)
Mg (0.185, 0.151, 0.478)
Mg (0.815, 0.522, 0.849)
Mg (0.500, 0.249, 0.751)
Mg (0.500, 0.751, 0.249)
Mg (0.185, 0.478, 0.151)
Ag (0.332, 0.666, 0.666)
Ag (0.668, 0.334, 0.334)
Nd (0.000, 0.000, 0.000)